Compound: Nd5SmMg4
Source: Alexandria
Functional: PBE
Structure: optimized geometry

It has space group P4/mmm (No. 123), with a = 3.834 Å, b = 3.834 Å, c = 20.775 Å, α = 90.00°, β = 90.00° and γ = 90.00°. Symmetry generates all atoms from Nd at (0.000, 0.000, 0.000), Nd at (0.000, 0.000, 0.189), Nd at (0.000, 0.000, 0.381), Sm at (0.500, 0.500, 0.500), Mg at (0.500, 0.500, 0.095) and Mg at (0.500, 0.500, 0.285).

The formation energy is -0.08 eV per atom. Its density of states at the Fermi level is 10.76 states/eV per cell. The magnetization is 0.000 μB/cell.